# 1
First-principles (PBE-GGA) data for a geometry-optimized MgFe3 structure, as listed in the Alexandria database.

Unit cell a=2.5525 b=2.5525 c=8.1090 alpha=90.00 beta=90.00 gamma=90.00
Closest atoms and distances in Å follow each position.
Atoms (fractional coordinates):
Mg1 0.0000 0.0000 0.0000  4 Mg 2.55, 8 Fe 2.80
Fe1 0.0000 0.0000 0.5000  12 Fe 2.55-2.63
Fe2 0.5000 0.5000 0.2647  8 Fe 2.55-2.63, 4 Mg 2.80
Fe3 0.5000 0.5000 0.7353  8 Fe 2.55-2.63, 4 Mg 2.80

Values from the calculation:
SG: P4/mmm
ΔH_f (0 K): 0.25 eV per atom
final energy: -6.496 eV per atom



# 2
First-principles (PBE-GGA) data for a geometry-optimized MgFe5 structure, as listed in the Alexandria database.

Unit cell a=4.3211 b=7.2271 c=7.2271 alpha=19.73 beta=90.00 gamma=90.00
Closest atoms and distances in Å follow each position.
Atoms (fractional coordinates):
Mg1 0.0000 0.0000 0.0000  2 Mg 2.48, 10 Fe 2.60-2.73
Fe1 0.0000 0.3307 0.3307  10 Fe 2.48-2.67, 2 Mg 2.71
Fe2 0.0000 0.6712 0.6712  10 Fe 2.48-2.68, 2 Mg 2.73
Fe3 0.5000 0.1018 0.1018  8 Fe 2.48-2.68, 2 Mg 2.60
Fe4 0.5000 0.4227 0.4227  6 Fe 2.48-2.59, 4 Mg 2.72
Fe5 0.5000 0.7632 0.7632  12 Fe 2.48-2.67

Values from the calculation:
SG: Amm2
ΔH_f (0 K): 0.23 eV per atom
final energy: -7.092 eV per atom



# 3
First-principles (PBE-GGA) data for a geometry-optimized Mg2Fe structure, as listed in the Alexandria database.

Unit cell a=4.4780 b=4.4780 c=4.4780 alpha=60.00 beta=60.00 gamma=60.00
Closest atoms and distances in Å follow each position.
Atoms (fractional coordinates):
Mg1 0.2500 0.2500 0.2500  4 Fe 2.74
Mg2 0.7500 0.7500 0.7500  4 Fe 2.74
Fe1 0.0000 0.0000 0.0000  8 Mg 2.74

Values from the calculation:
SG: Fm-3m
ΔH_f (0 K): 0.58 eV per atom
final energy: -3.299 eV per atom



Which of these has the highest ΔH_f (0 K)? Mg2Fe